# PBE-GGA ZnPPbF, relaxed
data_ZnPPbF
_cell_length_a 6.421
_cell_length_b 6.542
_cell_length_c 8.001
_cell_angle_alpha 90.00
_cell_angle_beta 90.00
_cell_angle_gamma 90.00
_space_group_name_H-M_alt 'P 21 21 21'
_space_group_IT_number 19
loop_
_space_group_symop_operation_xyz
'x,y,z'
'-x+1/2,-y,z+1/2'
'x+1/2,-y+1/2,-z'
'-x,y+1/2,-z+1/2'
loop_
_atom_site_label
_atom_site_type_symbol
_atom_site_fract_x
_atom_site_fract_y
_atom_site_fract_z
_atom_site_occupancy
Zn1 Zn 0.202 0.007 0.251 1
P1 P 0.003 0.755 0.130 1
Pb1 Pb 0.248 0.454 0.001 1
F1 F 0.006 0.498 0.751 1
# **Excess energy over the best structure of this formula in the dataset**: 154 meV/atom
# **Energy**: -3.85 eV per atom